# PmSm4HoTm2

A relaxed structure of PmSm4HoTm2 (PBE-GGA, Alexandria via LeMat-Bulk).

Density of states at the Fermi level: 11.1 states/eV/cell
ΔE_f: 17 meV/atom

Unit cell a=5.0773 b=5.0675 c=11.2924 alpha=63.33 beta=90.00 gamma=90.00
Positions (direct):
Pm 0.0000 0.5000 0.5000
Sm 0.0000 0.7482 0.7521
Sm 0.0000 0.2518 0.2479
Sm 0.5000 0.7513 0.2483
Sm 0.5000 0.2487 0.7517
Ho 0.5000 0.5000 0.0000
Tm 0.0000 0.0000 0.0000
Tm 0.5000 0.0000 0.5000



# CeHfMn17

A relaxed structure of CeHfMn17 (PBE-GGA, Alexandria via LeMat-Bulk).

Density of states at the Fermi level: 26.8 states/eV/cell
ΔE_f: 18 meV/atom

Unit cell a=6.2400 b=6.2400 c=6.2400 alpha=81.61 beta=81.61 gamma=81.61
Site moments in Bohr magnetons follow the coordinates.
Positions (direct):
Ce 0.6540 0.6540 0.6540  0.01
Hf 0.3425 0.3425 0.3425  -0.01
Mn 0.2920 0.0030 0.7065  0.04
Mn 0.7065 0.2920 0.0030  0.04
Mn 0.0030 0.7065 0.2920  0.04
Mn 0.2920 0.7065 0.0030  0.04
Mn 0.0030 0.2920 0.7065  0.04
Mn 0.7065 0.0030 0.2920  0.04
Mn 0.3435 0.8405 0.3435  -0.81
Mn 0.3435 0.3435 0.8405  -0.81
Mn 0.8405 0.3435 0.3435  -0.81
Mn 0.6573 0.1513 0.6573  1.05
Mn 0.6573 0.6573 0.1513  1.05
Mn 0.1513 0.6573 0.6573  1.05
Mn 0.0064 0.4937 0.0064  -0.07
Mn 0.0064 0.0064 0.4937  -0.07
Mn 0.4937 0.0064 0.0064  -0.07
Mn 0.9082 0.9082 0.9082  -1.22
Mn 0.0925 0.0925 0.0925  0.42



# NaSb2TeO6

A relaxed structure of NaSb2TeO6 (PBE-GGA, Alexandria via LeMat-Bulk).

Density of states at the Fermi level: 3.2 states/eV/cell
Uncorrected energy: -5.479 eV/atom

Unit cell a=5.4967 b=5.4966 c=7.4769 alpha=90.00 beta=111.57 gamma=120.00
Positions (direct):
Na 0.9625 0.4807 0.4291
Sb 0.6398 0.8194 0.4451
Sb 0.5064 0.2527 0.7450
Te 0.0893 0.0441 0.1192
O 0.4552 0.9029 0.6143
O 0.4694 0.0561 0.2403
O 0.8422 0.7851 0.2403
O 0.1983 0.4123 0.2403
O 0.7255 0.5513 0.6144
O 0.0771 0.1731 0.6144



# PmPt2

A relaxed structure of PmPt2 (PBE-GGA, Alexandria via LeMat-Bulk).

Density of states at the Fermi level: 0.7 states/eV/cell
ΔE_f: -1082 meV/atom

Unit cell a=5.4992 b=5.4992 c=5.4992 alpha=60.00 beta=60.00 gamma=60.00
Positions (direct):
Pt 0.1250 0.6250 0.6250
Pt 0.6250 0.1250 0.6250
Pt 0.6250 0.6250 0.6250
Pt 0.6250 0.6250 0.1250
Pm 0.0000 0.0000 0.0000
Pm 0.2500 0.2500 0.2500



# CaTl2PbI6

A relaxed structure of CaTl2PbI6 (PBE-GGA, Alexandria via LeMat-Bulk).

Density of states at the Fermi level: 0.0 states/eV/cell
Uncorrected energy: -2.892 eV/atom

Unit cell a=8.5412 b=8.5397 c=8.8161 alpha=61.05 beta=61.03 gamma=59.99
Positions (direct):
Ca 0.3218 0.3218 0.0346
Tl 0.5256 0.5254 0.4235
Tl 0.0233 0.0234 0.9299
Pb 0.8213 0.8213 0.5361
I 0.5848 0.1846 0.2614
I 0.1846 0.9690 0.2613
I 0.9691 0.5849 0.2615
I 0.4588 0.6778 0.7688
I 0.6778 0.0944 0.7689
I 0.0945 0.4589 0.7690



# Mn2CoAsN

A relaxed structure of Mn2CoAsN (PBE-GGA, Alexandria via LeMat-Bulk).

Density of states at the Fermi level: 4.0 states/eV/cell
Uncorrected energy: -7.773 eV/atom

Unit cell a=3.9079 b=3.9079 c=3.8283 alpha=90.00 beta=90.00 gamma=90.00
Site moments in Bohr magnetons follow the coordinates.
Positions (direct):
As 0.5000 0.5000 0.5000  -0.05
Mn 0.0000 0.5000 0.0000  2.73
Mn 0.5000 0.0000 0.0000  2.73
Co 0.0000 0.0000 0.5000  0.66
N 0.0000 0.0000 0.0000  -0.09



# NdDyCBr

A relaxed structure of NdDyCBr (PBE-GGA, Alexandria via LeMat-Bulk).

Density of states at the Fermi level: 2.2 states/eV/cell
Uncorrected energy: -5.984 eV/atom

Unit cell a=3.7343 b=3.7344 c=7.6358 alpha=90.00 beta=104.15 gamma=120.00
Positions (direct):
Nd 0.5148 0.1553 0.6854
Dy 0.0901 0.9430 0.0484
C 0.3140 0.5549 0.8842
Br 0.9590 0.3775 0.3516



# Tb2TeAs

A relaxed structure of Tb2TeAs (PBE-GGA, Alexandria via LeMat-Bulk).

Density of states at the Fermi level: 2.6 states/eV/cell
Uncorrected energy: -5.739 eV/atom

Unit cell a=4.1607 b=4.1607 c=7.7224 alpha=74.37 beta=74.37 gamma=60.00
Positions (direct):
Tb 0.0717 0.0717 0.7850
Tb 0.2610 0.2610 0.2171
Te 0.4991 0.4991 0.5028
As 0.6683 0.6683 0.9951



# Sr3Zn3Pd

A relaxed structure of Sr3Zn3Pd (PBE-GGA, Alexandria via LeMat-Bulk).

Density of states at the Fermi level: 9.8 states/eV/cell
ΔE_f: -356 meV/atom

Unit cell a=4.5482 b=6.2145 c=15.1015 alpha=84.18 beta=81.34 gamma=68.53
Positions (direct):
Sr 0.5292 0.3314 0.6102
Sr 0.4708 0.6686 0.3898
Sr 0.2488 0.2632 0.2392
Sr 0.7512 0.7368 0.7608
Sr 0.3920 0.2954 0.9207
Sr 0.6080 0.7046 0.0793
Zn 0.8334 0.7953 0.5379
Zn 0.1666 0.2047 0.4621
Zn 0.0955 0.8878 0.9212
Zn 0.9045 0.1122 0.0788
Zn 0.9486 0.8663 0.2366
Zn 0.0514 0.1337 0.7634
Pd 0.7643 0.0823 0.3892
Pd 0.2357 0.9177 0.6108



# CaFe2Rh

A relaxed structure of CaFe2Rh (PBE-GGA, Alexandria via LeMat-Bulk).

Density of states at the Fermi level: 5.3 states/eV/cell
ΔE_f: 287 meV/atom

Unit cell a=3.3073 b=3.3074 c=6.4794 alpha=90.00 beta=90.00 gamma=90.00
Site moments in Bohr magnetons follow the coordinates.
Positions (direct):
Ca 0.5000 0.5000 0.7500  -0.06
Rh 0.5000 0.5000 0.2500  0.71
Fe 0.0000 0.0000 0.0757  2.71
Fe 0.0000 0.0000 0.4243  2.71



# LiMgRh2

A relaxed structure of LiMgRh2 (PBE-GGA, Alexandria via LeMat-Bulk).

Density of states at the Fermi level: 8.8 states/eV/cell
ΔE_f: 103 meV/atom

Unit cell a=6.7772 b=6.7772 c=5.4566 alpha=51.61 beta=51.61 gamma=90.00
Site moments in Bohr magnetons follow the coordinates.
Positions (direct):
Mg 0.0000 0.0000 0.0000  0.00
Mg 0.7500 0.2500 0.5000  0.00
Rh 0.5946 0.1250 0.2500  0.28
Rh 0.1554 0.6250 0.2500  0.28
Rh 0.3750 0.4054 0.7500  0.28
Rh 0.8750 0.8446 0.7500  0.28
Li 0.5000 0.5000 0.0000  -0.01
Li 0.2500 0.7500 0.5000  -0.01



# PPbAuS2

A relaxed structure of PPbAuS2 (PBE-GGA, Alexandria via LeMat-Bulk).

Density of states at the Fermi level: 5.0 states/eV/cell
Uncorrected energy: -2.936 eV/atom

Unit cell a=5.1883 b=5.1883 c=5.2874 alpha=90.00 beta=90.00 gamma=90.00
Site moments in Bohr magnetons follow the coordinates.
Positions (direct):
Pb 0.0000 0.0000 0.0000  -0.01
P 0.0000 0.0000 0.5000  0.55
S 0.0000 0.5000 0.0000  0.22
S 0.5000 0.0000 0.0000  0.22
Au 0.5000 0.5000 0.5000  0.05



- Among the records above, which one has the highest density of states at the Fermi level?
  CeHfMn17



- Which of these has the highest density of states at the Fermi level?
  CeHfMn17